Version w
Compound: HoEr6Tm12
Source: Alexandria via LeMat-Bulk
Functional: GGA-PBE
Structure: optimized geometry

```
19
Lattice="5.831 3.367 5.000 -5.831 3.367 5.000 0.000 -6.733 5.000" Properties=species:S:1:pos:R:3 pbc="T T T"
Ho 0.000 0.000 0.000
Er -3.478 0.900 5.160
Er 0.959 -3.462 5.160
Er -2.518 -2.562 9.841
Er 2.518 2.562 5.160
Er -0.959 3.462 9.841
Er 3.478 -0.900 9.841
Tm -1.188 -1.648 2.875
Tm -0.833 1.853 2.875
Tm -1.328 -1.499 6.231
Tm 2.021 -0.205 2.875
Tm -1.962 0.401 8.769
Tm -0.634 1.900 6.231
Tm 0.634 -1.900 8.769
Tm 1.962 -0.401 6.231
Tm -2.021 0.205 12.126
Tm 1.328 1.499 8.769
Tm 0.833 -1.853 12.126
Tm 1.188 1.648 12.126
```

Version x
Compound: HoEr6Tm12
Source: Alexandria via LeMat-Bulk
Functional: GGA-PBE
Structure: optimized geometry

```
19
Lattice="6.463 3.731 4.133 -6.463 3.731 4.133 0.000 -7.462 4.133" Properties=species:S:1:pos:R:3 pbc="T T T"
Ho 0.000 0.000 0.000
Er 0.000 -4.152 3.567
Er -3.596 2.076 3.567
Er -3.596 -2.076 8.832
Er 3.596 2.076 3.567
Er 3.596 -2.076 8.832
Er 0.000 4.152 8.832
Tm -1.757 -1.015 3.272
Tm -1.661 -2.877 6.199
Tm -3.323 0.000 6.199
Tm 1.757 -1.015 3.272
Tm 0.000 2.029 3.272
Tm 1.661 -2.877 6.199
Tm -1.661 2.877 6.199
Tm 0.000 -2.029 9.127
Tm -1.757 1.015 9.127
Tm 3.323 0.000 6.199
Tm 1.661 2.877 6.199
Tm 1.757 1.015 9.127
```

The structure with the most favorable energy is version w; the runner-up is 54 meV/atom above it.

Version w
Compound: Ho6ErTm4
Source: Alexandria via LeMat-Bulk
Functional: GGA-PBE
Structure: optimized geometry

```
11
Lattice="10.762 0.000 0.000 -5.381 9.320 0.000 0.000 0.000 3.487" Properties=species:S:1:pos:R:3 pbc="T T T"
Ho 0.000 3.389 0.000
Ho -2.446 7.626 0.000
Ho 5.381 0.321 1.744
Ho 2.969 4.500 1.744
Ho 2.446 7.626 0.000
Ho 7.794 4.500 1.744
Er 0.000 0.000 1.744
Tm 2.607 1.505 0.000
Tm 0.000 6.214 1.744
Tm 8.155 1.505 0.000
Tm 5.381 6.310 0.000
```

Version x
Compound: Ho6ErTm4
Source: Alexandria via LeMat-Bulk
Functional: GGA-PBE
Structure: optimized geometry

```
22
Lattice="2.800 -4.764 0.000 2.800 4.764 0.000 0.000 0.000 25.333" Properties=species:S:1:pos:R:3 pbc="T T T"
Ho 0.000 0.000 0.000
Ho 0.000 0.000 12.666
Ho 2.800 4.611 19.000
Ho 2.800 1.736 2.624
Ho 2.800 1.736 10.043
Ho 2.800 1.431 17.268
Ho 2.800 1.431 20.732
Ho 2.800 -1.431 4.601
Ho 2.800 -1.431 8.065
Ho 2.800 -1.736 15.290
Ho 2.800 -1.736 22.709
Ho 2.800 -4.611 6.333
Er 2.800 1.731 6.333
Er 2.800 -1.731 19.000
Tm 2.800 4.586 15.748
Tm 2.800 4.586 22.251
Tm 2.800 1.529 13.744
Tm 2.800 1.529 24.256
Tm 2.800 -1.529 1.077
Tm 2.800 -1.529 11.589
Tm 2.800 -4.586 3.082
Tm 2.800 -4.586 9.585
```

The structure with the most favorable energy is version x; the runner-up is 32 meV/atom above it.

Version w
Compound: HoEr8Tm6
Source: Alexandria via LeMat-Bulk
Functional: GGA-PBE
Structure: optimized geometry

```
15
Lattice="4.443 2.565 6.759 -4.443 2.565 6.759 0.000 -5.131 6.759" Properties=species:S:1:pos:R:3 pbc="T T T"
Ho 0.000 0.000 0.000
Er -2.718 -1.680 10.631
Er -2.814 1.514 9.645
Er 0.096 -3.194 9.645
Er 0.000 0.000 8.588
Er 0.000 0.000 11.688
Er -0.096 3.194 10.631
Er 2.814 -1.514 10.631
Er 2.718 1.680 9.645
Tm -1.904 0.520 5.939
Tm 0.502 -1.909 5.939
Tm -1.402 -1.389 14.337
Tm 1.402 1.389 5.939
Tm -0.502 1.909 14.337
Tm 1.904 -0.520 14.337
```

Version x
Compound: HoEr8Tm6
Source: Alexandria via LeMat-Bulk
Functional: GGA-PBE
Structure: optimized geometry

```
15
Lattice="9.245 0.000 0.000 -4.623 8.007 0.000 0.000 0.000 6.422" Properties=species:S:1:pos:R:3 pbc="T T T"
Ho 0.000 0.000 0.000
Er -1.331 2.696 2.581
Er -1.623 7.811 2.581
Er 0.000 5.338 4.312
Er 1.669 2.501 3.841
Er 2.954 5.506 2.581
Er 4.623 2.669 2.110
Er 6.245 0.195 3.841
Er 5.954 5.311 3.841
Tm -2.276 5.447 0.593
Tm 1.043 3.312 0.593
Tm 3.390 0.753 5.829
Tm 1.233 7.254 0.593
Tm 3.580 4.694 5.829
Tm 6.898 2.559 5.829
```

The structure with the most favorable energy is version w; the runner-up is 112 meV/atom above it.

Version w
Compound: Ho3Er2Tm8
Source: Alexandria via LeMat-Bulk
Functional: GGA-PBE
Structure: optimized geometry

```
13
Lattice="11.270 -3.362 0.000 11.270 3.362 0.000 -1.336 0.000 5.339" Properties=species:S:1:pos:R:3 pbc="T T T"
Ho 0.000 0.000 0.000
Ho 10.602 1.578 2.669
Ho 10.602 -1.578 2.669
Er 5.219 0.000 4.151
Er 15.985 0.000 1.188
Tm 7.357 1.601 1.849
Tm 3.948 0.000 0.996
Tm 13.847 1.601 3.489
Tm 8.350 0.000 4.938
Tm 12.854 0.000 0.400
Tm 7.357 -1.601 1.849
Tm 17.256 0.000 4.343
Tm 13.847 -1.601 3.489
```

Version x
Compound: Ho3Er2Tm8
Source: Alexandria via LeMat-Bulk
Functional: GGA-PBE
Structure: optimized geometry

```
13
Lattice="10.005 -3.744 0.000 10.005 3.744 0.000 -0.002 0.000 5.507" Properties=species:S:1:pos:R:3 pbc="T T T"
Ho 0.000 0.000 0.000
Ho 10.005 1.617 2.753
Ho 10.005 -1.617 2.753
Er 4.828 0.000 5.504
Er 15.181 0.000 0.003
Tm 2.664 0.000 2.753
Tm 7.816 1.594 5.506
Tm 6.662 0.000 2.751
Tm 12.193 1.594 0.001
Tm 7.816 -1.594 5.506
Tm 13.347 0.000 2.756
Tm 12.193 -1.594 0.001
Tm 17.345 0.000 2.754
```

The structure with the most favorable energy is version w; the runner-up is 85 meV/atom above it.